No. 1
KHg2GeAu: relaxed, PBE.

uncorrected energy: -9.867 eV for the cell shown
D(E_F): 0.73 states/eV/atom
ρ: 7.7 Mg/m³

The structure in CIF format:
```
data_KHg2GeAu
_cell_length_a 5.490
_cell_length_b 5.490
_cell_length_c 5.108
_cell_angle_alpha 90.00
_cell_angle_beta 90.00
_cell_angle_gamma 90.00
_symmetry_space_group_name_H-M 'P 4/m m m'
_symmetry_Int_Tables_number 123
_symmetry_space_group_name_Hall '-P 4 2'
loop_
_atom_site_label
_atom_site_fract_x
_atom_site_fract_y
_atom_site_fract_z
K1 0.000 0.000 0.000
Hg1 0.000 0.500 0.500
Ge1 0.500 0.500 0.500
Au1 0.500 0.500 0.000
```

No. 2
La2HgGe3Au4: relaxed, PBE.

uncorrected energy: -42.676 eV for the cell shown
D(E_F): 0.46 states/eV/atom
ρ: 11.1 Mg/m³

The structure in CIF format:
```
data_La2HgGe3Au4
_cell_length_a 4.476
_cell_length_b 4.476
_cell_length_c 11.129
_cell_angle_alpha 90.00
_cell_angle_beta 90.00
_cell_angle_gamma 90.00
_symmetry_space_group_name_H-M 'P -4 m 2'
_symmetry_Int_Tables_number 115
_symmetry_space_group_name_Hall 'P -4 -2'
loop_
_atom_site_label
_atom_site_fract_x
_atom_site_fract_y
_atom_site_fract_z
La1 0.000 0.500 0.234
Hg1 0.000 0.000 0.500
Ge1 0.000 0.500 0.872
Ge2 0.500 0.500 0.500
Au1 0.000 0.000 0.000
Au2 0.000 0.500 0.648
Au3 0.500 0.500 0.000
```

No. 3
LiHgGeAu: relaxed, PBE.

uncorrected energy: -42.951 eV for the cell shown
D(E_F): 0.45 states/eV/atom
ρ: 10.6 Mg/m³

The structure in CIF format:
```
data_LiHgGeAu
_cell_length_a 6.679
_cell_length_b 6.679
_cell_length_c 6.679
_cell_angle_alpha 90.00
_cell_angle_beta 90.00
_cell_angle_gamma 90.00
_symmetry_space_group_name_H-M 'F -4 3 m'
_symmetry_Int_Tables_number 216
_symmetry_space_group_name_Hall 'F -4 2 3'
loop_
_atom_site_label
_atom_site_fract_x
_atom_site_fract_y
_atom_site_fract_z
Li1 0.000 0.000 0.000
Hg1 0.250 0.250 0.750
Ge1 0.000 0.000 0.500
Au1 0.250 0.250 0.250
```

No. 4
Hg2GeOsAu: relaxed, PBE.

uncorrected energy: -16.305 eV for the cell shown
D(E_F): 0.66 states/eV/atom
ρ: 11.0 Mg/m³

The structure in CIF format:
```
data_Hg2GeOsAu
_cell_length_a 5.287
_cell_length_b 5.287
_cell_length_c 4.656
_cell_angle_alpha 90.00
_cell_angle_beta 90.00
_cell_angle_gamma 90.00
_symmetry_space_group_name_H-M 'P 4/m m m'
_symmetry_Int_Tables_number 123
_symmetry_space_group_name_Hall '-P 4 2'
loop_
_atom_site_label
_atom_site_fract_x
_atom_site_fract_y
_atom_site_fract_z
Hg1 0.000 0.500 0.000
Ge1 0.000 0.000 0.500
Os1 0.000 0.000 0.000
Au1 0.500 0.500 0.500
```

No. 5
PaHgGeAu: relaxed, PBE.

uncorrected energy: -73.298 eV for the cell shown
D(E_F): 1.19 states/eV/atom
ρ: 13.4 Mg/m³

The structure in CIF format:
```
data_PaHgGeAu
_cell_length_a 7.030
_cell_length_b 7.030
_cell_length_c 7.030
_cell_angle_alpha 90.00
_cell_angle_beta 90.00
_cell_angle_gamma 90.00
_symmetry_space_group_name_H-M 'F -4 3 m'
_symmetry_Int_Tables_number 216
_symmetry_space_group_name_Hall 'F -4 2 3'
loop_
_atom_site_label
_atom_site_fract_x
_atom_site_fract_y
_atom_site_fract_z
Pa1 0.000 0.000 0.000
Hg1 0.000 0.000 0.500
Ge1 0.250 0.250 0.750
Au1 0.250 0.250 0.250
```

No. 6
HgGe2PbAu: relaxed, PBE.

uncorrected energy: -12.365 eV for the cell shown
D(E_F): 0.90 states/eV/atom
ρ: 7.6 Mg/m³

The structure in CIF format:
```
data_HgGe2PbAu
_cell_length_a 5.540
_cell_length_b 5.540
_cell_length_c 5.345
_cell_angle_alpha 90.00
_cell_angle_beta 90.00
_cell_angle_gamma 90.00
_symmetry_space_group_name_H-M 'P 4/m m m'
_symmetry_Int_Tables_number 123
_symmetry_space_group_name_Hall '-P 4 2'
loop_
_atom_site_label
_atom_site_fract_x
_atom_site_fract_y
_atom_site_fract_z
Hg1 0.000 0.000 0.000
Ge1 0.000 0.500 0.500
Pb1 0.500 0.500 0.500
Au1 0.500 0.500 0.000
```

No. 7
PmHgGeAu: relaxed, PBE.

uncorrected energy: -58.504 eV for the cell shown
D(E_F): 0.34 states/eV/atom
ρ: 11.3 Mg/m³

The structure in CIF format:
```
data_PmHgGeAu
_cell_length_a 7.117
_cell_length_b 7.117
_cell_length_c 7.117
_cell_angle_alpha 90.00
_cell_angle_beta 90.00
_cell_angle_gamma 90.00
_symmetry_space_group_name_H-M 'F -4 3 m'
_symmetry_Int_Tables_number 216
_symmetry_space_group_name_Hall 'F -4 2 3'
loop_
_atom_site_label
_atom_site_fract_x
_atom_site_fract_y
_atom_site_fract_z
Pm1 0.000 0.000 0.000
Hg1 0.000 0.000 0.500
Ge1 0.250 0.250 0.250
Au1 0.250 0.250 0.750
```

No. 8
Pm2HgGe4Au3: relaxed, PBE.

uncorrected energy: -42.496 eV for the cell shown
D(E_F): 0.26 states/eV/atom
ρ: 10.6 Mg/m³

The structure in CIF format:
```
data_Pm2HgGe4Au3
_cell_length_a 4.473
_cell_length_b 4.473
_cell_length_c 10.762
_cell_angle_alpha 90.00
_cell_angle_beta 90.00
_cell_angle_gamma 90.00
_symmetry_space_group_name_H-M 'P -4 m 2'
_symmetry_Int_Tables_number 115
_symmetry_space_group_name_Hall 'P -4 -2'
loop_
_atom_site_label
_atom_site_fract_x
_atom_site_fract_y
_atom_site_fract_z
Pm1 0.000 0.500 0.248
Hg1 0.000 0.000 0.500
Ge1 0.000 0.000 0.000
Ge2 0.000 0.500 0.640
Ge3 0.500 0.500 0.000
Au1 0.000 0.500 0.871
Au2 0.500 0.500 0.500
```

No. 9
PrHgGeAu: relaxed, PBE.

uncorrected energy: -58.534 eV for the cell shown
D(E_F): 0.32 states/eV/atom
ρ: 11.0 Mg/m³

The structure in CIF format:
```
data_PrHgGeAu
_cell_length_a 7.180
_cell_length_b 7.180
_cell_length_c 7.180
_cell_angle_alpha 90.00
_cell_angle_beta 90.00
_cell_angle_gamma 90.00
_symmetry_space_group_name_H-M 'F -4 3 m'
_symmetry_Int_Tables_number 216
_symmetry_space_group_name_Hall 'F -4 2 3'
loop_
_atom_site_label
_atom_site_fract_x
_atom_site_fract_y
_atom_site_fract_z
Pr1 0.000 0.000 0.000
Hg1 0.000 0.000 0.500
Ge1 0.250 0.250 0.750
Au1 0.250 0.250 0.250
```

No. 10
Pr2HgGe4Au3: relaxed, PBE.

uncorrected energy: -42.880 eV for the cell shown
D(E_F): 0.25 states/eV/atom
ρ: 10.4 Mg/m³

The structure in CIF format:
```
data_Pr2HgGe4Au3
_cell_length_a 4.523
_cell_length_b 4.523
_cell_length_c 10.673
_cell_angle_alpha 90.00
_cell_angle_beta 90.00
_cell_angle_gamma 90.00
_symmetry_space_group_name_H-M 'P -4 m 2'
_symmetry_Int_Tables_number 115
_symmetry_space_group_name_Hall 'P -4 -2'
loop_
_atom_site_label
_atom_site_fract_x
_atom_site_fract_y
_atom_site_fract_z
Pr1 0.000 0.500 0.246
Hg1 0.000 0.000 0.500
Ge1 0.000 0.000 0.000
Ge2 0.000 0.500 0.639
Ge3 0.500 0.500 0.000
Au1 0.000 0.500 0.873
Au2 0.500 0.500 0.500
```

No. 11
Pu4HgGeAu2: relaxed, PBE.

uncorrected energy: -214.260 eV for the cell shown
D(E_F): 4.02 states/eV/atom
ρ: 13.9 Mg/m³

The structure in CIF format:
```
data_Pu4HgGeAu2
_cell_length_a 5.1685
_cell_length_b 5.1685
_cell_length_c 25.4249
_cell_angle_alpha 90.00
_cell_angle_beta 90.00
_cell_angle_gamma 120.00
_symmetry_space_group_name_H-M 'R -3 m'
_symmetry_Int_Tables_number 166
_symmetry_space_group_name_Hall '-R 3 2"'
loop_
_atom_site_label
_atom_site_fract_x
_atom_site_fract_y
_atom_site_fract_z
Pu1 0.0000 0.0000 0.1156
Pu2 0.0000 0.0000 0.3654
Hg1 0.0000 0.0000 0.5000
Ge1 0.0000 0.0000 0.0000
Au1 0.0000 0.0000 0.2393
```

No. 12
Pu4HgGe2Au: relaxed, PBE.

uncorrected energy: -217.223 eV for the cell shown
D(E_F): 4.40 states/eV/atom
ρ: 12.9 Mg/m³

The structure in CIF format:
```
data_Pu4HgGe2Au
_cell_length_a 5.1752
_cell_length_b 5.1752
_cell_length_c 25.3495
_cell_angle_alpha 90.00
_cell_angle_beta 90.00
_cell_angle_gamma 120.00
_symmetry_space_group_name_H-M 'R -3 m'
_symmetry_Int_Tables_number 166
_symmetry_space_group_name_Hall '-R 3 2"'
loop_
_atom_site_label
_atom_site_fract_x
_atom_site_fract_y
_atom_site_fract_z
Pu1 0.0000 0.0000 0.1225
Pu2 0.0000 0.0000 0.3684
Hg1 0.0000 0.0000 0.5000
Ge1 0.0000 0.0000 0.2472
Au1 0.0000 0.0000 0.0000
```

No. 13
Rb2HgGeAu: relaxed, PBE.

uncorrected energy: -10.725 eV for the cell shown
D(E_F): 0.57 states/eV/atom
ρ: 4.8 Mg/m³
E above lowest polymorph: 0 meV/atom

The structure in CIF format:
```
data_Rb2HgGeAu
_cell_length_a 6.809
_cell_length_b 6.809
_cell_length_c 4.759
_cell_angle_alpha 90.00
_cell_angle_beta 90.00
_cell_angle_gamma 90.00
_symmetry_space_group_name_H-M 'P 4/m m m'
_symmetry_Int_Tables_number 123
_symmetry_space_group_name_Hall '-P 4 2'
loop_
_atom_site_label
_atom_site_fract_x
_atom_site_fract_y
_atom_site_fract_z
Rb1 0.000 0.500 0.000
Hg1 0.000 0.000 0.500
Ge1 0.500 0.500 0.500
Au1 0.500 0.500 0.000
```